1.
Below is a PBEsol-optimized structure of K2LaP2Se7, with properties calculated at the SCAN level.

abc: 9.3747 7.1925 21.8381
angles: 90.00 108.88 90.00
Closest atoms and distances in Å follow each position.
Fractional coordinates of all 48 atoms:
1 K 0.1514 0.0710 0.3202  6 Se 3.26-3.58, 1 P 3.50
2 K 0.1514 0.4290 0.8202  6 Se 3.26-3.58, 1 P 3.50
3 K 0.2441 0.5155 0.4875  6 Se 3.27-3.55
4 K 0.2441 0.9845 0.9875  6 Se 3.27-3.55
5 K 0.7559 0.0155 0.0125  6 Se 3.27-3.55
6 K 0.7559 0.4845 0.5125  6 Se 3.27-3.55
7 K 0.8486 0.5710 0.1798  6 Se 3.26-3.58, 1 P 3.50
8 K 0.8486 0.9290 0.6798  6 Se 3.26-3.58, 1 P 3.50
9 La 0.3503 0.0225 0.6492  8 Se 3.00-3.17
10 La 0.3503 0.4775 0.1492  8 Se 3.00-3.17
11 La 0.6497 0.5225 0.8508  8 Se 3.00-3.17
12 La 0.6497 0.9775 0.3508  8 Se 3.00-3.17
13 P 0.0381 0.0173 0.4570  3 Se 2.19-2.20, 1 P 2.23
14 P 0.0381 0.4827 0.9570  3 Se 2.19-2.20, 1 P 2.23
15 P 0.4222 0.5221 0.3307  4 Se 2.21-2.24
16 P 0.4222 0.9779 0.8307  4 Se 2.21-2.24
17 P 0.5778 0.0221 0.1693  4 Se 2.21-2.24
18 P 0.5778 0.4779 0.6693  4 Se 2.21-2.24
19 P 0.9619 0.5173 0.0430  3 Se 2.19-2.20, 1 P 2.23
20 P 0.9619 0.9827 0.5430  3 Se 2.19-2.20, 1 P 2.23
21 Se 0.0450 0.2292 0.6034  1 P 2.20
22 Se 0.0450 0.2708 0.1034  1 P 2.20
23 Se 0.0815 0.7372 0.5941  1 P 2.19
24 Se 0.0815 0.7628 0.0941  1 P 2.19
25 Se 0.2064 0.0373 0.7535  1 P 2.22
26 Se 0.2064 0.4627 0.2535  1 P 2.22
27 Se 0.2833 0.0529 0.4979  1 P 2.19
28 Se 0.2833 0.4471 0.9979  1 P 2.19
29 Se 0.4077 0.7353 0.8907  1 P 2.21
30 Se 0.4077 0.7647 0.3907  1 P 2.21
31 Se 0.4101 0.0954 0.2185  1 P 2.24
32 Se 0.4101 0.4046 0.7185  1 P 2.24
33 Se 0.4834 0.2161 0.8982  1 P 2.21
34 Se 0.4834 0.2839 0.3982  1 P 2.21
35 Se 0.5166 0.7161 0.6018  1 P 2.21
36 Se 0.5166 0.7839 0.1018  1 P 2.21
37 Se 0.5899 0.5954 0.2815  1 P 2.24
38 Se 0.5899 0.9046 0.7815  1 P 2.24
39 Se 0.5923 0.2353 0.6093  1 P 2.21
40 Se 0.5923 0.2647 0.1093  1 P 2.21
41 Se 0.7167 0.5529 0.0021  1 P 2.19
42 Se 0.7167 0.9471 0.5021  1 P 2.19
43 Se 0.7936 0.5373 0.7465  1 P 2.22
44 Se 0.7936 0.9627 0.2465  1 P 2.22
45 Se 0.9185 0.2372 0.9059  1 P 2.19
46 Se 0.9185 0.2628 0.4059  1 P 2.19
47 Se 0.9550 0.7292 0.8966  1 P 2.20
48 Se 0.9550 0.7708 0.3966  1 P 2.20

Computed properties:
SG	P2_1/c (14)

---

2.
Below is a PBEsol-optimized structure of KLaPb, with properties calculated at the SCAN level.

abc: 8.8898 8.8898 8.8898
angles: 156.42 156.42 33.60
Closest atoms and distances in Å follow each position.
Fractional coordinates of all 3 atoms:
1 K 0.0000 0.0000 0.0000  4 K 3.63, 4 Pb 3.64
2 La 0.2783 0.2783 0.0000  4 Pb 3.35, 4 La 3.63
3 Pb 0.6515 0.6515 0.0000  4 La 3.35, 4 Pb 3.63, 4 K 3.64

Computed properties:
E_form	-81	kJ/mol of formula units
SG	I4mm (107)

---

| no. | calculated total energy (eV per atom) |
| --- | --- |
| 1 | -19.4807 |
| 2 | -42.6832 |